First-principles (PBE) data for a relaxed ZnSiPt2 crystal, as listed in Alexandria.

CIF file:
```
data_ZnSiPt2
_symmetry_space_group_name_H-M 'P 1'
_symmetry_Int_Tables_number 1
_cell_length_a 3.941
_cell_length_b 3.941
_cell_length_c 14.255
_cell_angle_alpha 90.00
_cell_angle_beta 90.00
_cell_angle_gamma 120.00
loop_
_symmetry_equiv_pos_as_xyz
'x,y,z'
loop_
_atom_site_label
_atom_site_fract_x
_atom_site_fract_y
_atom_site_fract_z
_atom_site_occupancy
Zn1 0.000 0.000 0.000 1
Zn2 0.333 0.667 0.667 1
Zn3 0.667 0.333 0.333 1
Si1 0.000 0.000 0.178 1
Si2 0.333 0.667 0.845 1
Si3 0.667 0.333 0.512 1
Pt1 0.000 0.000 0.571 1
Pt2 0.000 0.000 0.773 1
Pt3 0.333 0.667 0.238 1
Pt4 0.333 0.667 0.440 1
Pt5 0.667 0.333 0.106 1
Pt6 0.667 0.333 0.904 1
```

Computed properties:
Symmetry   No. 160
Density of states at the Fermi level   3.15 states/eV per cell
Raw formation energy   -537 meV per atom
Total moment   0.0 μB per cell